First-principles (PBE with a Hubbard U) data for an optimized crystal structure of Pb3WO, as listed in Alexandria via LeMat-Bulk.

Lattice parameters (Å, degrees): 4.897 4.897 4.897 90.00 90.00 90.00
Atoms (fractional coordinates):
Pb  0.000  0.500  0.000
Pb  0.000  0.000  0.500
Pb  0.500  0.000  0.000
O  0.000  0.000  0.000
W  0.500  0.500  0.500

Properties
DFT total energy in eV/atom: -3.923
ρ in kg/m³: 11615
Symmetry: Pm-3m, No. 221
Total magnetic moment in μB per atom: 0.00
Energy above the lowest structure with this stoichiometry in kJ per mole of atoms: 0.0